(1)
Below is TlZnCd2 after structural relaxation, with properties calculated at the PBEsol level. Values from VASP.

Structure (Quantum ESPRESSO input):
```
&SYSTEM
  ibrav = 0, nat = 4, ntyp = 3
/
ATOMIC_SPECIES
Cd 112.41 Cd.upf
Zn 65.41 Zn.upf
Tl 204.38 Tl.upf
CELL_PARAMETERS angstrom
4.397 0.000 0.000
0.000 4.397 0.000
-2.199 -2.199 4.384
ATOMIC_POSITIONS crystal
Cd 0.000 0.000 0.000
Cd 0.750 0.250 0.500
Zn 0.250 0.750 0.500
Tl 0.500 0.500 0.000
```

Output
The crystal system is tetragonal. For the total energy, the calculation gives -6.063 eV for the cell shown. As for the density of states at the Fermi level: 1.1 states/eV per cell. The relative energy among the computed polymorphs comes out at 0 meV/atom.


(2)
Below is Tl2ZnCd after structural relaxation, with properties calculated at the PBEsol level. Values from VASP.

Structure (Quantum ESPRESSO input):
```
&SYSTEM
  ibrav = 0, nat = 4, ntyp = 3
/
ATOMIC_SPECIES
Cd 112.41 Cd.upf
Tl 204.38 Tl.upf
Zn 65.41 Zn.upf
CELL_PARAMETERS angstrom
-0.217 3.906 -3.312
-1.239 -0.859 -4.899
-4.529 1.575 -1.812
ATOMIC_POSITIONS crystal
Cd 0.500 0.500 0.500
Tl 0.000 0.000 0.000
Tl 0.250 0.250 0.250
Zn 0.750 0.750 0.750
```

Output
The crystal system is cubic. For the total energy, the calculation gives -7.254 eV for the cell shown. As for the density of states at the Fermi level: 2.1 states/eV per cell. The relative energy among the computed polymorphs comes out at 51 meV/atom.


(3)
Below is TlZnCd2 after structural relaxation, with properties calculated at the PBEsol level. Values from VASP.

Structure (Quantum ESPRESSO input):
```
&SYSTEM
  ibrav = 0, nat = 4, ntyp = 3
/
ATOMIC_SPECIES
Cd 112.41 Cd.upf
Tl 204.38 Tl.upf
Zn 65.41 Zn.upf
CELL_PARAMETERS angstrom
-1.707 3.142 -0.496
-4.052 -2.357 -0.987
-1.246 0.095 4.889
ATOMIC_POSITIONS crystal
Cd 0.000 0.000 0.000
Cd 0.500 0.500 0.000
Tl 0.500 0.000 0.500
Zn 0.000 0.500 0.500
```

Output
The crystal system is orthorhombic. For the total energy, the calculation gives -5.959 eV for the cell shown. As for the density of states at the Fermi level: 1.2 states/eV per cell. The relative energy among the computed polymorphs comes out at 26 meV/atom.


(4)
Below is TlZnCd2 after structural relaxation, with properties calculated at the PBEsol level. Values from VASP.

Structure (Quantum ESPRESSO input):
```
&SYSTEM
  ibrav = 0, nat = 4, ntyp = 3
/
ATOMIC_SPECIES
Zn 65.41 Zn.upf
Cd 112.41 Cd.upf
Tl 204.38 Tl.upf
CELL_PARAMETERS angstrom
-2.536 -1.394 3.548
-0.648 -3.791 -1.953
3.532 -1.584 1.902
ATOMIC_POSITIONS crystal
Zn 0.500 0.000 0.000
Cd 0.000 0.000 0.500
Cd 0.000 0.500 0.000
Tl 0.500 0.500 0.500
```

Output
The crystal system is tetragonal. For the total energy, the calculation gives -6.046 eV for the cell shown. As for the density of states at the Fermi level: 1.3 states/eV per cell. The relative energy among the computed polymorphs comes out at 4 meV/atom.


(5)
Below is Tl2ZnCd after structural relaxation, with properties calculated at the PBEsol level. Values from VASP.

Structure (Quantum ESPRESSO input):
```
&SYSTEM
  ibrav = 0, nat = 4, ntyp = 3
/
ATOMIC_SPECIES
Zn 65.41 Zn.upf
Tl 204.38 Tl.upf
Cd 112.41 Cd.upf
CELL_PARAMETERS angstrom
3.334 0.000 0.000
0.000 3.334 0.000
0.000 0.000 8.374
ATOMIC_POSITIONS crystal
Zn 0.500 0.500 0.000
Tl 0.000 0.000 0.231
Tl 0.000 0.000 0.769
Cd 0.500 0.500 0.500
```

Output
The crystal system is tetragonal. For the total energy, the calculation gives -7.456 eV for the cell shown. As for the density of states at the Fermi level: 1.9 states/eV per cell. The relative energy among the computed polymorphs comes out at 0 meV/atom.


(6)
Below is Tl2ZnCd after structural relaxation, with properties calculated at the PBEsol level. Values from VASP.

Structure (Quantum ESPRESSO input):
```
&SYSTEM
  ibrav = 0, nat = 4, ntyp = 3
/
ATOMIC_SPECIES
Zn 65.41 Zn.upf
Cd 112.41 Cd.upf
Tl 204.38 Tl.upf
CELL_PARAMETERS angstrom
-0.661 4.365 1.134
-2.110 0.696 -3.911
-3.976 -1.109 1.948
ATOMIC_POSITIONS crystal
Zn 0.500 0.500 0.000
Cd 0.000 0.500 0.500
Tl 0.500 0.000 0.500
Tl 0.000 0.000 0.000
```

Output
The crystal system is tetragonal. For the total energy, the calculation gives -7.384 eV for the cell shown. As for the density of states at the Fermi level: 1.9 states/eV per cell. The relative energy among the computed polymorphs comes out at 18 meV/atom.